<P>
The following is a PBE-GGA calculation of a geometry-optimized Co3C5 structure, from Alexandria.

Output
* DOS at the Fermi energy: 0.32 states/eV per atom
* SG: Fmm2

Unit cell a=6.826 b=6.128 c=5.335 alpha=72.72 beta=59.02 gamma=48.27
Element x y z (fractional)
Co (0.000, 0.000, 0.000)
Co (0.225, 0.225, 0.275)
Co (0.237, 0.237, 0.763)
Co (0.415, 0.691, 0.309)
Co (0.691, 0.415, 0.585)
Co (0.725, 0.725, 0.775)
C (0.018, 0.689, 0.311)
C (0.190, 0.542, 0.458)
C (0.291, 0.959, 0.041)
C (0.304, 0.720, 0.696)
C (0.542, 0.190, 0.810)
C (0.653, 0.819, 0.181)
C (0.689, 0.018, 0.982)
C (0.720, 0.304, 0.280)
C (0.819, 0.653, 0.347)
C (0.959, 0.291, 0.709)


<Q>
The following is a PBE-GGA calculation of a geometry-optimized Co3C5 structure, from Alexandria.

Output
* DOS at the Fermi energy: 0.44 states/eV per atom
* SG: P2_1/m

Unit cell a=5.059 b=5.366 c=5.674 alpha=90.00 beta=116.30 gamma=90.00
Element x y z (fractional)
Co (0.014, 0.250, 0.070)
Co (0.031, 0.250, 0.513)
Co (0.453, 0.250, 0.941)
Co (0.547, 0.750, 0.059)
Co (0.969, 0.750, 0.487)
Co (0.986, 0.750, 0.930)
C (0.158, 0.003, 0.819)
C (0.158, 0.497, 0.819)
C (0.331, 0.750, 0.495)
C (0.367, 0.250, 0.357)
C (0.489, 0.750, 0.351)
C (0.511, 0.250, 0.649)
C (0.633, 0.750, 0.643)
C (0.669, 0.250, 0.505)
C (0.842, 0.503, 0.181)
C (0.842, 0.997, 0.181)


Which of them is most stable? Easy: <P>.


<P>
The following is a PBE-GGA calculation of a geometry-optimized Co3C5 structure, from Alexandria.

Output
* DOS at the Fermi energy: 0.99 states/eV per atom
* SG: Cmmm

Unit cell a=4.422 b=5.855 c=7.816 alpha=90.00 beta=90.00 gamma=90.00
Element x y z (fractional)
Co (0.000, 0.000, 0.000)
Co (0.000, 0.297, 0.500)
Co (0.000, 0.703, 0.500)
Co (0.500, 0.203, 0.500)
Co (0.500, 0.500, 0.000)
Co (0.500, 0.797, 0.500)
C (0.000, 0.500, 0.000)
C (0.168, 0.000, 0.500)
C (0.250, 0.250, 0.000)
C (0.250, 0.750, 0.000)
C (0.332, 0.500, 0.500)
C (0.500, 0.000, 0.000)
C (0.668, 0.500, 0.500)
C (0.750, 0.250, 0.000)
C (0.750, 0.750, 0.000)
C (0.832, 0.000, 0.500)


<Q>
The following is a PBE-GGA calculation of a geometry-optimized Co3C5 structure, from Alexandria.

Output
* DOS at the Fermi energy: 0.82 states/eV per atom
* SG: P4/mmm

Unit cell a=2.771 b=2.771 c=9.244 alpha=90.00 beta=90.00 gamma=90.00
Element x y z (fractional)
Co (0.000, 0.000, 0.000)
Co (0.500, 0.500, 0.279)
Co (0.500, 0.500, 0.721)
C (0.000, 0.000, 0.356)
C (0.000, 0.000, 0.500)
C (0.000, 0.000, 0.644)
C (0.500, 0.500, 0.075)
C (0.500, 0.500, 0.925)


Which of them is most stable? Easy: <Q>.


<P>
The following is a PBE-GGA calculation of a geometry-optimized Co5C structure, from Alexandria.

Output
* DOS at the Fermi energy: 1.00 states/eV per atom
* SG: Cm

Unit cell a=8.182 b=2.561 c=5.871 alpha=90.00 beta=104.08 gamma=90.00
Element x y z (fractional)
Co (0.000, 0.000, 0.000)
Co (0.077, 0.000, 0.437)
Co (0.195, 0.500, 0.811)
Co (0.306, 0.000, 0.205)
Co (0.388, 0.000, 0.638)
Co (0.500, 0.500, 0.000)
Co (0.577, 0.500, 0.437)
Co (0.695, 0.000, 0.811)
Co (0.806, 0.500, 0.205)
Co (0.888, 0.500, 0.638)
C (0.131, 0.500, 0.216)
C (0.631, 0.000, 0.216)


<Q>
The following is a PBE-GGA calculation of a geometry-optimized Co5C structure, from Alexandria.

Output
* DOS at the Fermi energy: 1.04 states/eV per atom
* SG: Cmmm

Unit cell a=2.508 b=12.343 c=3.997 alpha=90.00 beta=90.00 gamma=90.00
Element x y z (fractional)
Co (0.000, 0.000, 0.000)
Co (0.000, 0.119, 0.500)
Co (0.000, 0.328, 0.000)
Co (0.000, 0.672, 0.000)
Co (0.000, 0.881, 0.500)
Co (0.500, 0.172, 0.000)
Co (0.500, 0.381, 0.500)
Co (0.500, 0.500, 0.000)
Co (0.500, 0.619, 0.500)
Co (0.500, 0.828, 0.000)
C (0.000, 0.500, 0.500)
C (0.500, 0.000, 0.500)


Which of them is most stable? Easy: <P>.


<P>
The following is a PBE-GGA calculation of a geometry-optimized Co5C structure, from Alexandria.

Output
* DOS at the Fermi energy: 0.86 states/eV per atom
* SG: Cmmm

Unit cell a=3.997 b=11.712 c=2.512 alpha=90.00 beta=90.00 gamma=90.00
Element x y z (fractional)
Co (0.000, 0.000, 0.000)
Co (0.000, 0.189, 0.500)
Co (0.000, 0.377, 0.000)
Co (0.000, 0.623, 0.000)
Co (0.000, 0.811, 0.500)
Co (0.500, 0.123, 0.000)
Co (0.500, 0.311, 0.500)
Co (0.500, 0.500, 0.000)
Co (0.500, 0.689, 0.500)
Co (0.500, 0.877, 0.000)
C (0.000, 0.500, 0.500)
C (0.500, 0.000, 0.500)


<Q>
The following is a PBE-GGA calculation of a geometry-optimized Co5C structure, from Alexandria.

Output
* DOS at the Fermi energy: 0.85 states/eV per atom
* SG: P4/mmm

Unit cell a=2.468 b=2.468 c=9.576 alpha=90.00 beta=90.00 gamma=90.00
Element x y z (fractional)
Co (0.000, 0.000, 0.000)
Co (0.000, 0.000, 0.380)
Co (0.000, 0.000, 0.620)
Co (0.500, 0.500, 0.185)
Co (0.500, 0.500, 0.815)
C (0.500, 0.500, 0.500)


Which of them is most stable? Easy: <P>.